The following is a DFT calculation (PBE-GGA) of GaOs2Br after structural relaxation.

final energy	-5.26	eV per atom
formation energy from raw total energies	1.533	eV/atom
offset from the most stable computed form	426	meV per atom
Fermi-level density of states	2.95	states/eV/f.u.

The structure in POSCAR format:
```
GaOs2Br
1.0
-5.0136 1.5564 2.1541
-0.9791 -5.3577 1.5922
-0.6701 -0.9261 6.5832
Os Ga Br
4 2 2
direct
0.6350 0.1250 0.2500
0.1150 0.6250 0.2500
0.3750 0.3650 0.7500
0.8750 0.8850 0.7500
0.5000 0.5000 0.0000
0.2500 0.7500 0.5000
0.0000 0.0000 0.0000
0.7500 0.2500 0.5000
```